AlSiRh2 | PBEsol | optimized geometry

Cell lengths 4.1917, 4.1917, 4.8906 Å; angles 101.27, 101.27, 39.46 degrees
Fractional positions:
Al  0.0000  0.0000  0.0000
Si  0.5000  0.5000  0.5000
Rh  0.2448  0.2448  0.7414
Rh  0.7552  0.7552  0.2586

Calculated values
N(E_F) ... 2.28 states/eV/f.u.
Magnetic moment ... 0.00 Bohr magnetons per cell
Final energy ... -28.95 eV/cell
Formation energy (no corrections) ... -0.7077 eV per atom

---

MgAsPt | PBEsol | optimized geometry

Cell lengths 4.2645, 4.2645, 3.2731 Å; angles 90.00, 90.00, 120.00 degrees
Fractional positions:
Mg  0.0000  0.0000  0.0000
As  0.3333  0.6667  0.5000
Pt  0.6667  0.3333  0.5000

Calculated values
N(E_F) ... 0.83 states/eV/f.u.
Magnetic moment ... 0.00 Bohr magnetons per cell
Final energy ... -15.33 eV/cell

---

Sr2CoRe | PBEsol | optimized geometry

Cell lengths 2.9390, 2.9390, 9.5017 Å; angles 90.00, 90.00, 90.00 degrees
Fractional positions:
Sr  0.0000  0.0000  0.2348
Sr  0.0000  0.0000  0.7652
Co  0.5000  0.5000  0.0000
Re  0.5000  0.5000  0.5000

Calculated values
N(E_F) ... 5.20 states/eV/f.u.
Magnetic moment ... 1.06 Bohr magnetons per cell
Final energy ... -20.05 eV/cell

---

- Look up the magnetic moment of the third one.
  1.06 Bohr magnetons per cell